Entry 1:
An optimized crystal structure of Th4Te2PtSe. Source: Alexandria via LeMat-Bulk, functional GGA-PBE.

a b c (Å): 7.499 4.261 7.783
angles (deg): 90.00 108.48 90.00
Element x y z (fractional)
Th  0.228  0.000  0.215
Th  0.255  0.500  0.777
Th  0.745  0.500  0.223
Th  0.772  0.000  0.785
Te  0.000  0.000  0.500
Te  0.500  0.500  0.500
Pt  0.000  0.500  0.000
Se  0.500  0.000  0.000

Computed properties:
Symmetry: No. 10
E_form (uncorrected) (eV/atom): -1.248
V (Å³/cell): 235.8
Total DFT energy (no corrections) (Ry per atom): -0.510

***

Entry 2:
An optimized crystal structure of Sc4Tl2Zn3. Source: Alexandria via LeMat-Bulk, functional GGA-PBE.

a b c (Å): 5.399 5.399 8.843
angles (deg): 110.48 110.48 50.49
Element x y z (fractional)
Sc  0.051  0.051  0.349
Sc  0.350  0.350  0.112
Sc  0.650  0.650  0.888
Sc  0.949  0.949  0.651
Tl  0.295  0.295  0.748
Tl  0.705  0.705  0.252
Zn  0.000  0.000  0.000
Zn  0.365  0.365  0.443
Zn  0.635  0.635  0.557

Computed properties:
Symmetry: No. 12
Energy relative to the elements (kcal/mol of atoms): -5.2
V (Å³/cell): 183.4
Total DFT energy (no corrections) (Ry per atom): -0.293

***

Entry 3:
An optimized crystal structure of UBiPb. Source: Alexandria via LeMat-Bulk, functional GGA-PBE.

a b c (Å): 3.269 3.269 9.524
angles (deg): 90.00 90.00 120.00
Element x y z (fractional)
U  0.000  0.000  0.000
Bi  0.667  0.333  0.297
Pb  0.333  0.667  0.691

Computed properties:
Symmetry: No. 156
Energy relative to the elements (kcal/mol of atoms): 5.8
ΔE to the lowest computed polymorph (kcal/mol of atoms): 0.00
V (Å³/cell): 88.1
Total DFT energy (no corrections) (Ry per atom): -0.444

***

M_tot? In order: 0.0 0.9 2.2 Bohr magnetons per cell.